1.
A relaxed Na3Tl3CoO8 crystal, computed with PBE with a Hubbard U.

Properties
E_tot: -70.6 eV per cell

a = 6.614 Å, b = 6.615 Å, c = 6.739 Å
α = 119.39°, β = 90.00°, γ = 120.00°
Last column: magnetic moment on the atom in μB.
Element x y z (fractional)
Na (0.000, 0.000, 0.000)  0.00
Na (0.000, 0.500, 0.000)  0.00
Na (0.500, 0.500, 0.000)  0.00
Tl (0.500, 0.000, 0.500)  0.00
Tl (0.500, 0.500, 0.500)  0.00
Tl (0.000, 0.500, 0.500)  0.00
Co (0.000, 0.000, 0.500)  1.17
O (0.257, 0.514, 0.271)  0.03
O (0.743, 0.486, 0.729)  0.03
O (0.795, 0.589, 0.305)  -0.04
O (0.205, 0.411, 0.695)  -0.04
O (0.794, 0.011, 0.305)  -0.04
O (0.206, 0.989, 0.695)  -0.04
O (0.216, 0.011, 0.305)  -0.04
O (0.784, 0.989, 0.695)  -0.04


2.
A relaxed NaTlCoO3 crystal, computed with PBE with a Hubbard U.

Properties
Fermi-level density of states: 0.0 states/eV/f.u.
E_tot: -58.6 eV per cell

a = 5.423 Å, b = 5.811 Å, c = 6.273 Å
α = 117.60°, β = 90.00°, γ = 90.00°
Last column: magnetic moment on the atom in μB.
Element x y z (fractional)
Na (0.250, 0.420, 0.840)  0.01
Na (0.750, 0.580, 0.160)  0.01
Tl (0.750, 0.252, 0.505)  0.02
Tl (0.250, 0.748, 0.495)  0.02
Co (0.250, 0.046, 0.091)  2.24
Co (0.750, 0.954, 0.909)  2.24
O (0.250, 0.209, 0.417)  0.43
O (0.000, 0.208, 0.000)  0.07
O (0.500, 0.792, 0.000)  0.07
O (0.500, 0.208, 0.000)  0.07
O (0.000, 0.792, 0.000)  0.07
O (0.750, 0.791, 0.583)  0.43


3.
A relaxed NaUCoO6 crystal, computed with PBE with a Hubbard U.

Properties
E_tot: -126.1 eV per cell

a = 4.823 Å, b = 4.823 Å, c = 9.644 Å
α = 90.00°, β = 90.00°, γ = 90.00°
Last column: magnetic moment on the atom in μB.
Element x y z (fractional)
Na (0.500, 0.500, 0.162)  0.00
Na (0.000, 0.000, 0.662)  0.00
U (0.500, 0.500, 0.498)  -0.07
U (0.000, 0.000, 0.998)  -0.07
Co (0.500, 0.500, 0.828)  1.43
Co (0.000, 0.000, 0.328)  1.43
O (0.212, 0.788, 0.475)  0.02
O (0.788, 0.212, 0.475)  0.02
O (0.288, 0.288, 0.975)  0.02
O (0.712, 0.712, 0.975)  0.02
O (0.173, 0.827, 0.181)  0.00
O (0.827, 0.173, 0.181)  0.00
O (0.327, 0.327, 0.681)  0.00
O (0.673, 0.673, 0.681)  0.00
O (0.761, 0.239, 0.849)  0.23
O (0.239, 0.761, 0.849)  0.23
O (0.739, 0.739, 0.349)  0.23
O (0.261, 0.261, 0.349)  0.23


4.
A relaxed NaCo2WO6 crystal, computed with PBE with a Hubbard U.

Properties
E_tot: -62.9 eV per cell

a = 5.240 Å, b = 5.254 Å, c = 5.549 Å
α = 61.76°, β = 62.05°, γ = 59.83°
Last column: magnetic moment on the atom in μB.
Element x y z (fractional)
Na (0.805, 0.808, 0.580)  0.00
Co (0.508, 0.509, 0.474)  0.10
Co (0.028, 0.023, 0.932)  2.67
W (0.311, 0.313, 0.065)  0.00
O (0.575, 0.269, 0.236)  0.02
O (0.266, 0.920, 0.235)  0.03
O (0.919, 0.573, 0.239)  0.02
O (0.379, 0.704, 0.751)  0.05
O (0.704, 0.161, 0.754)  0.04
O (0.166, 0.382, 0.750)  0.04


5.
A relaxed Na3Y2CoO6 crystal, computed with PBE with a Hubbard U.

Properties
E_tot: -78.1 eV per cell

a = 5.705 Å, b = 5.705 Å, c = 5.871 Å
α = 99.22°, β = 99.22°, γ = 119.71°
Last column: magnetic moment on the atom in μB.
Element x y z (fractional)
Na (0.154, 0.846, 0.500)  0.00
Na (0.846, 0.154, 0.500)  0.00
Na (0.500, 0.500, 0.500)  0.00
Y (0.333, 0.667, 0.000)  0.00
Y (0.667, 0.333, 0.000)  0.00
Co (0.000, 0.000, 0.000)  3.04
O (0.931, 0.625, 0.792)  0.12
O (0.750, 0.750, 0.211)  0.11
O (0.069, 0.375, 0.208)  0.12
O (0.625, 0.931, 0.792)  0.12
O (0.250, 0.250, 0.789)  0.11
O (0.375, 0.069, 0.208)  0.12


6.
A relaxed Na2Zn2CoO4 crystal, computed with PBE with a Hubbard U.

Properties
E_tot: -41.0 eV per cell

a = 3.020 Å, b = 7.433 Å, c = 6.815 Å
α = 123.94°, β = 90.00°, γ = 101.72°
Last column: magnetic moment on the atom in μB.
Element x y z (fractional)
Na (0.875, 0.750, 0.503)  0.00
Na (0.125, 0.250, 0.497)  0.00
Zn (0.332, 0.663, 0.003)  0.00
Zn (0.668, 0.337, 0.997)  0.00
Co (0.000, 0.000, 0.000)  1.05
O (0.736, 0.472, 0.794)  0.01
O (0.264, 0.528, 0.206)  0.01
O (0.496, 0.993, 0.182)  -0.04
O (0.504, 0.007, 0.818)  -0.04